Material: SrMgCuGe2
Method: DFT, PBE
State: optimized geometry

extended XYZ file:
```
5
Lattice="-2.179 2.179 5.558 2.179 -2.179 5.558 2.179 2.179 -5.558" Properties=species:S:1:pos:R:3 pbc="T T T"
Sr 0.000 0.000 0.000
Mg 0.000 2.179 2.779
Cu 2.179 0.000 2.779
Ge 0.000 0.000 4.277
Ge 0.000 0.000 6.839
```

Output
- E: -18.61 eV/cell
- DOS(E_F): 1.674 states/eV/cell
- Energy relative to the elements: -2.00 eV per formula unit

Material: Ce5Sb2Pt
Method: DFT, PBE
State: optimized geometry

extended XYZ file:
```
16
Lattice="2.924 -4.597 0.000 2.924 4.597 0.000 0.000 0.000 17.162" Properties=species:S:1:pos:R:3 pbc="T T T"
Ce 2.924 3.791 10.196
Ce 2.924 3.791 15.547
Ce 2.924 2.424 4.290
Ce 2.924 1.011 10.462
Ce 2.924 1.011 15.280
Ce 2.924 -1.011 1.882
Ce 2.924 -1.011 6.699
Ce 2.924 -2.424 12.871
Ce 2.924 -3.791 1.615
Ce 2.924 -3.791 6.966
Sb 2.924 2.177 1.144
Sb 2.924 2.177 7.436
Sb 2.924 -2.177 9.725
Sb 2.924 -2.177 16.017
Pt 2.924 2.772 12.871
Pt 2.924 -2.772 4.290
```

Output
- Uncorrected formation energy: -0.6042 eV/atom
- E: -97.58 eV/cell
- Energy above the most stable polymorph in this dataset: 208.8 meV per atom
- DOS(E_F): 52.416 states/eV/cell

Material: RbGaF3
Method: DFT, PBE
State: optimized geometry

extended XYZ file:
```
20
Lattice="4.589 -5.848 0.000 4.589 5.848 0.000 -3.582 0.000 7.385" Properties=species:S:1:pos:R:3 pbc="T T T"
Rb 1.902 5.788 5.539
Rb 1.902 1.309 5.539
Rb 3.693 -1.309 1.846
Rb 3.693 -5.788 1.846
Ga 2.490 2.234 1.774
Ga 4.897 2.234 1.918
Ga 0.699 -2.234 5.467
Ga 3.106 -2.234 5.611
F -0.643 2.131 4.908
F 1.435 1.843 0.297
F 1.745 0.850 2.799
F -0.356 -1.843 3.989
F 1.148 -2.131 1.216
F -0.046 -0.850 6.491
F 5.642 0.850 0.894
F 4.447 2.131 6.169
F 5.952 1.843 3.396
F 3.850 -0.850 4.587
F 4.161 -1.843 7.089
F 6.239 -2.131 2.477
```

Output
- Uncorrected formation energy: -2.5780 eV/atom
- E: -89.99 eV/cell
- DOS(E_F): 0.000 states/eV/cell

Material: Zr2ScPt
Method: DFT, PBE
State: optimized geometry

extended XYZ file:
```
4
Lattice="1.650 0.953 9.239 -1.650 0.953 9.239 0.000 -1.905 9.239" Properties=species:S:1:pos:R:3 pbc="T T T"
Zr 0.000 0.000 0.000
Zr 0.000 0.000 6.735
Sc 0.000 0.000 13.276
Pt 0.000 0.000 20.535
```

Output
- E: -30.83 eV/cell
- Energy above the most stable polymorph in this dataset: 238.6 meV per atom
- DOS(E_F): 4.358 states/eV/cell
- Energy relative to the elements: -1.36 eV per formula unit

Material: LaPr5Tm6
Method: DFT, PBE
State: optimized geometry

extended XYZ file:
```
12
Lattice="-2.584 4.965 7.736 2.584 -4.965 7.736 2.584 4.965 -7.736" Properties=species:S:1:pos:R:3 pbc="T T T"
La 0.000 0.000 0.000
Pr 2.584 0.000 2.592
Pr 0.000 0.000 5.159
Pr 0.000 4.965 0.000
Pr 0.000 0.000 10.314
Pr 0.000 4.965 5.145
Tm 2.584 -2.480 5.153
Tm 2.584 2.487 0.000
Tm 0.000 2.484 2.583
Tm 2.584 2.480 5.153
Tm 0.000 2.477 7.736
Tm 0.000 7.445 2.583
```

Output
- E: -55.40 eV/cell
- DOS(E_F): 16.093 states/eV/cell
- Energy relative to the elements: 0.26 eV per formula unit

Material: Li3TiIn
Method: DFT, PBE
State: optimized geometry

extended XYZ file:
```
5
Lattice="4.782 0.000 0.000 0.000 4.782 0.000 0.000 0.000 4.782" Properties=species:S:1:pos:R:3 pbc="T T T"
Li 0.000 0.000 2.391
Li 0.000 2.391 0.000
Li 2.391 0.000 0.000
Ti 2.391 2.391 2.391
In 0.000 0.000 0.000
```

Output
- E: -12.97 eV/cell
- Energy above the most stable polymorph in this dataset: 0.0 meV per atom
- DOS(E_F): 3.342 states/eV/cell
- Energy relative to the elements: 3.41 eV per formula unit

Material: Y2AgCl
Method: DFT, PBE
State: optimized geometry

extended XYZ file:
```
4
Lattice="-1.845 1.845 7.380 1.845 -1.845 7.380 1.845 1.845 -7.380" Properties=species:S:1:pos:R:3 pbc="T T T"
Y 0.000 0.000 0.000
Y 0.000 0.000 3.519
Ag 0.000 0.000 8.831
Cl 0.000 0.000 12.027
```

Output
- Uncorrected formation energy: -0.7480 eV/atom
- E: -20.62 eV/cell
- Energy above the most stable polymorph in this dataset: 16.5 meV per atom
- DOS(E_F): 0.363 states/eV/cell